Entry 1:
CsLiPb | PBE-GGA | optimized geometry

```
3
Lattice="5.483 0.000 0.000 0.000 5.212 0.000 0.000 -2.606 4.514" Properties=species:S:1:pos:R:3 pbc="T T T"
Pb 0.913 0.000 0.000
Cs 3.656 2.606 1.505
Li 0.913 0.000 3.009
```

Properties
Calculated volume, Å³/cell: 128.97
Space-group type: P-6m2, No. 187
Energy above the lowest structure with this stoichiometry, eV per formula unit: 0.79
Fermi-level density of states, states/eV per cell: 3.73
Energy, eV/atom: -2.09
E_form, kJ per mole of atoms: 7.0
Total magnetization, μB/cell: 0.00

=====

Entry 2:
CsLi2Pb2 | PBE-GGA | optimized geometry

```
10
Lattice="-8.939 -1.582 -2.781 3.128 -6.062 -6.604 -0.254 -2.689 2.347" Properties=species:S:1:pos:R:3 pbc="T T T"
Pb -0.651 -5.944 -6.879
Pb -5.940 -5.146 -6.538
Pb -5.160 -1.700 -2.507
Pb 0.129 -2.498 -2.848
Cs 0.000 0.000 0.000
Cs -2.906 -3.822 -4.693
Li 0.588 -5.492 -3.500
Li -3.232 -7.543 -6.263
Li -6.653 -4.841 -3.539
Li -2.834 -2.790 -0.776
```

Properties
Calculated volume, Å³/cell: 322.55
Space-group type: P4/mbm, No. 127
Energy above the lowest structure with this stoichiometry, eV per formula unit: 0.14
Fermi-level density of states, states/eV per cell: 3.82
Energy, eV/atom: -2.52
E_form, kJ per mole of atoms: -9.9
Total magnetization, μB/cell: 0.00

=====

The lowest energy belongs to which entry?
CsLi2Pb2

=====

Which formula does entry 1 have?
CsLiPb